A relaxed structure of BeIrSCl2. Source: the Alexandria database, functional GGA-PBE.

Cell: 4.9289 4.9289 4.4769 Å, 90.00 90.00 90.00°
Fractional coordinates of all 5 atoms:
S1 0.0000 0.0000 0.5000
Cl1 0.5000 0.0000 0.0000
Ir1 0.0000 0.0000 0.0000
Cl2 0.0000 0.5000 0.0000
Be1 0.5000 0.5000 0.5000

Values from the calculation:
**Symmetry**: P4/mmm
**Energy relative to the elements, uncorrected**: 0.5981 eV/atom